Pr5CuBi3 | PBEsol | relaxed

Calculated values
Energy of formation from the pure elements ... -745 meV per atom
Electronic total energy ... -5.54 eV/atom

a b c (Å): 9.578 9.578 6.524
angles (deg): 90.00 90.00 120.00
Fractional coordinates of all 18 atoms:
Pr1 0.000 0.258 0.250
Pr2 0.000 0.742 0.750
Pr3 0.258 0.000 0.250
Pr4 0.258 0.258 0.750
Pr5 0.333 0.667 0.000
Pr6 0.333 0.667 0.500
Pr7 0.667 0.333 0.000
Pr8 0.667 0.333 0.500
Pr9 0.742 0.000 0.750
Pr10 0.742 0.742 0.250
Cu1 0.000 0.000 0.000
Cu2 0.000 0.000 0.500
Bi1 0.000 0.384 0.750
Bi2 0.000 0.616 0.250
Bi3 0.384 0.000 0.750
Bi4 0.384 0.384 0.250
Bi5 0.616 0.000 0.250
Bi6 0.616 0.616 0.750

***

CuBiPtS3 | PBEsol | relaxed

Calculated values
Formation energy from raw total energies ... -0.4167 eV per atom
Electronic total energy ... -5.21 eV/atom

a b c (Å): 4.883 7.682 12.502
angles (deg): 90.00 90.00 90.00
Fractional coordinates of all 24 atoms:
Cu1 0.023 0.114 0.441
Cu2 0.477 0.886 0.941
Cu3 0.523 0.386 0.559
Cu4 0.977 0.614 0.059
Bi1 0.111 0.115 0.132
Bi2 0.389 0.885 0.632
Bi3 0.611 0.385 0.868
Bi4 0.889 0.615 0.368
Pt1 0.005 0.636 0.749
Pt2 0.495 0.364 0.249
Pt3 0.505 0.864 0.251
Pt4 0.995 0.136 0.751
S1 0.237 0.640 0.912
S2 0.242 0.384 0.703
S3 0.244 0.132 0.912
S4 0.256 0.868 0.412
S5 0.258 0.616 0.203
S6 0.263 0.360 0.412
S7 0.737 0.860 0.088
S8 0.742 0.116 0.297
S9 0.744 0.368 0.088
S10 0.756 0.632 0.588
S11 0.758 0.884 0.797
S12 0.763 0.140 0.588

***

TiCuBiPt2 | PBEsol | relaxed

Calculated values
Energy of formation from the pure elements ... 686 meV per atom
Electronic total energy ... -5.49 eV/atom

a b c (Å): 4.598 4.598 4.723
angles (deg): 90.00 90.00 90.00
Fractional coordinates of all 5 atoms:
Ti1 0.000 0.000 0.000
Cu1 0.500 0.500 0.500
Bi1 0.500 0.500 0.000
Pt1 0.000 0.500 0.500
Pt2 0.500 0.000 0.500

***

ZnCu2BiPt | PBEsol | relaxed

Calculated values
Energy of formation from the pure elements ... 1092 meV per atom
Electronic total energy ... -3.21 eV/atom

a b c (Å): 4.816 4.816 5.139
angles (deg): 90.00 90.00 90.00
Fractional coordinates of all 5 atoms:
Zn1 0.000 0.000 0.000
Cu1 0.000 0.500 0.500
Cu2 0.500 0.000 0.500
Bi1 0.500 0.500 0.500
Pt1 0.500 0.500 0.000

***

RbCu2Bi2 | PBEsol | relaxed

Calculated values
Energy of formation from the pure elements ... 26 meV per atom
Electronic total energy ... -3.63 eV/atom

a b c (Å): 4.677 4.677 11.744
angles (deg): 90.00 90.00 90.00
Fractional coordinates of all 10 atoms:
Rb1 0.000 0.000 0.000
Rb2 0.500 0.500 0.500
Cu1 0.000 0.500 0.250
Cu2 0.000 0.500 0.750
Cu3 0.500 0.000 0.250
Cu4 0.500 0.000 0.750
Bi1 0.000 0.000 0.364
Bi2 0.000 0.000 0.636
Bi3 0.500 0.500 0.136
Bi4 0.500 0.500 0.864

***

RbYCu2Bi | PBEsol | relaxed

Calculated values
Energy of formation from the pure elements ... 541 meV per atom
Electronic total energy ... -3.62 eV/atom

a b c (Å): 5.407 5.407 5.822
angles (deg): 90.00 90.00 90.00
Fractional coordinates of all 5 atoms:
Rb1 0.000 0.000 0.000
Y1 0.500 0.500 0.500
Cu1 0.000 0.500 0.500
Cu2 0.500 0.000 0.500
Bi1 0.500 0.500 0.000